No. 1
Compound: Na2Ga6Sn
Source: Alexandria via LeMat-Bulk
Functional: GGA-PBE
Structure: relaxed

## Properties
- magnetization (μB/f.u.) = 0.00
- crystal system = trigonal
- space-group type = P-3m1 (164)
- density (Mg/m³) = 4.88
- ΔE_f (meV/atom) = -100

a b c (Å): 6.054 6.054 6.249
angles (deg): 90.00 90.00 120.00
Sites, in units of the cell vectors:
Na: 0.333 0.667 0.371
Na: 0.667 0.333 0.629
Ga: 0.182 0.363 0.850
Ga: 0.182 0.818 0.850
Ga: 0.363 0.182 0.150
Ga: 0.637 0.818 0.850
Ga: 0.818 0.182 0.150
Ga: 0.818 0.637 0.150
Sn: 0.000 0.000 0.500

***

No. 2
Compound: PaB2Rh2
Source: Alexandria via LeMat-Bulk
Functional: GGA-PBE
Structure: relaxed

## Properties
- magnetization (μB/f.u.) = 0.00
- crystal system = monoclinic
- space-group type = P2_1/m (11)
- density (Mg/m³) = 11.28
- ΔE_f (meV/atom) = -557

a b c (Å): 4.002 3.786 8.926
angles (deg): 90.00 93.59 90.00
Sites, in units of the cell vectors:
Pa: 0.227 0.250 0.250
Pa: 0.773 0.750 0.750
B: 0.160 0.750 0.009
B: 0.270 0.250 0.640
B: 0.730 0.750 0.360
B: 0.840 0.250 0.991
Rh: 0.249 0.750 0.502
Rh: 0.329 0.250 0.902
Rh: 0.671 0.750 0.098
Rh: 0.751 0.250 0.498

***

No. 3
Compound: Co7Pt3
Source: Alexandria via LeMat-Bulk
Functional: GGA-PBE
Structure: relaxed

## Properties
- magnetization (μB/f.u.) = 13.61
- crystal system = monoclinic
- space-group type = C2/m (12)
- density (Mg/m³) = 13.21
- ΔE_f (meV/atom) = -68

a b c (Å): 6.895 6.895 5.214
angles (deg): 101.19 101.19 31.11
Sites, in units of the cell vectors:
Co: 0.000 0.000 0.000
Co: 0.200 0.200 0.596
Co: 0.401 0.401 0.698
Co: 0.404 0.404 0.197
Co: 0.596 0.596 0.803
Co: 0.599 0.599 0.302
Co: 0.800 0.800 0.404
Pt: 0.000 0.000 0.500
Pt: 0.196 0.196 0.108
Pt: 0.804 0.804 0.892